{"formula": "La2Pr3Tm5", "functional": "PBE", "state": "optimized geometry", "ef_ev_per_atom": 0.173, "rho_g_cm3": 7.64, "dft_energy_ev_per_atom": -4.48, "dos_ef_per_ev_cell": 27.703, "lattice": [[5.3092, -8.2517, 0.0000], [5.3092, 8.2517, 0.0000], [-5.3078, 0.0000, 7.6617]], "species": ["La", "La", "La", "La", "Pr", "Pr", "Pr", "Pr", "Pr", "Pr", "Tm", "Tm", "Tm", "Tm", "Tm", "Tm", "Tm", "Tm", "Tm", "Tm"], "frac_coords": [[0.0251, 0.2672, 0.0458], [0.2672, 0.0251, 0.5458], [0.7328, 0.9749, 0.4542], [0.9749, 0.7328, 0.9542], [0.2268, 0.4731, 0.4537], [0.2691, 0.7309, 0.2500], [0.4731, 0.2268, 0.9537], [0.5269, 0.7732, 0.0463], [0.7309, 0.2691, 0.7500], [0.7732, 0.5269, 0.5463], [0.0270, 0.9730, 0.7500], [0.1396, 0.3692, 0.7509], [0.2274, 0.7726, 0.7500], [0.3692, 0.1396, 0.2509], [0.4736, 0.5264, 0.2500], [0.5264, 0.4736, 0.7500], [0.6308, 0.8604, 0.7491], [0.7726, 0.2274, 0.2500], [0.8604, 0.6308, 0.2491], [0.9730, 0.0270, 0.2500]]}